Entry from Alexandria via LeMat-Bulk: UCrSiTc after structural relaxation (GGA-PBE).

Values from the calculation:
Magnetization = 9.40 μB/cell
Uncorrected formation energy = -0.049 eV per atom
Electronic total energy = -9.224 eV per atom

Unit cell a=6.311 b=6.311 c=6.311 alpha=90.00 beta=90.00 gamma=90.00
Space group F-43m (No. 216)
Inequivalent atoms, fractional coordinates:
U1 0.000 0.000 0.000 [4 per cell]
Cr1 0.250 0.250 0.250 [4 per cell]
Si1 0.000 0.000 0.500 [4 per cell]
Tc1 0.250 0.250 0.750 [4 per cell]